[1]
KAg3OsS4 after structural relaxation, computed with PBE.

Cell lengths 6.274, 6.274, 6.274 Å; angles 90.00, 90.00, 90.00 degrees
Element x y z (fractional)
K (0.000, 0.000, 0.000)
Ag (0.000, 0.500, 0.500)
Ag (0.500, 0.000, 0.500)
Ag (0.500, 0.500, 0.000)
Os (0.500, 0.500, 0.500)
S (0.290, 0.290, 0.290)
S (0.290, 0.710, 0.710)
S (0.710, 0.290, 0.710)
S (0.710, 0.710, 0.290)

Properties
- Theoretical density: 4.580 g/cm3
- SG: P-43m
- Calculated total energy: -4.26 eV per atom

=====

[2]
CsPaRe after structural relaxation, computed with PBE.

Cell lengths 4.909, 4.909, 4.909 Å; angles 60.00, 60.00, 60.00 degrees
Element x y z (fractional)
Cs (0.000, 0.000, 0.000)
Pa (0.250, 0.250, 0.250)
Re (0.500, 0.500, 0.500)

Properties
- Theoretical density: 10.920 g/cm3
- SG: F-43m
- Calculated total energy: -5.63 eV per atom

=====

[3]
GdPuAs after structural relaxation, computed with PBE.

Cell lengths 4.891, 4.891, 4.891 Å; angles 60.00, 60.00, 60.00 degrees
Element x y z (fractional)
Gd (0.000, 0.000, 0.000)
Pu (0.500, 0.500, 0.500)
As (0.250, 0.250, 0.250)

Properties
- Theoretical density: 9.558 g/cm3
- Energy relative to the lowest polymorph listed for this composition: 0.000 eV per atom
- SG: F-43m

=====

[4]
LiFe2P2Pd after structural relaxation, computed with PBE.

Cell lengths 3.591, 3.591, 5.911 Å; angles 90.00, 90.00, 90.00 degrees
Element x y z (fractional)
Li (0.000, 0.000, 0.000)
Fe (0.000, 0.500, 0.642)
Fe (0.500, 0.000, 0.642)
P (0.000, 0.000, 0.424)
P (0.500, 0.500, 0.865)
Pd (0.500, 0.500, 0.270)

Properties
- Theoretical density: 6.252 g/cm3
- SG: P4mm
- Calculated total energy: -6.34 eV per atom

=====

[5]
Li3Ni after structural relaxation, computed with PBE.

Cell lengths 4.465, 4.465, 4.465 Å; angles 130.10, 130.10, 73.25 degrees
Element x y z (fractional)
Li (0.000, 0.000, 0.000)
Li (0.250, 0.750, 0.500)
Li (0.750, 0.250, 0.500)
Ni (0.500, 0.500, 0.000)

Properties
- Theoretical density: 2.597 g/cm3
- SG: I4/mmm
- Calculated total energy: -2.73 eV per atom

=====

[6]
AlCdIr2 after structural relaxation, computed with PBE.

Cell lengths 4.476, 4.476, 4.476 Å; angles 60.00, 60.00, 60.00 degrees
Element x y z (fractional)
Al (0.000, 0.000, 0.000)
Cd (0.250, 0.250, 0.250)
Ir (0.500, 0.500, 0.500)
Ir (0.750, 0.750, 0.750)

Properties
- Theoretical density: 13.719 g/cm3
- SG: F-43m
- Calculated total energy: -5.49 eV per atom

=====

[7]
BePbAu2 after structural relaxation, computed with PBE.

Cell lengths 4.786, 4.786, 4.786 Å; angles 60.00, 60.00, 60.00 degrees
Element x y z (fractional)
Be (0.000, 0.000, 0.000)
Pb (0.750, 0.750, 0.750)
Au (0.250, 0.250, 0.250)
Au (0.500, 0.500, 0.500)

Properties
- Theoretical density: 13.068 g/cm3
- SG: F-43m
- Calculated total energy: -3.12 eV per atom

=====

[8]
ZnFeGeIr after structural relaxation, computed with PBE.

Cell lengths 4.314, 4.314, 4.314 Å; angles 60.00, 60.00, 60.00 degrees
Element x y z (fractional)
Zn (0.000, 0.000, 0.000)
Fe (0.500, 0.500, 0.500)
Ge (0.250, 0.250, 0.250)
Ir (0.750, 0.750, 0.750)

Properties
- Theoretical density: 11.297 g/cm3
- Energy relative to the lowest polymorph listed for this composition: 0.217 eV per atom
- SG: F-43m

=====

[9]
MgBeCo2 after structural relaxation, computed with PBE.

Cell lengths 4.006, 4.006, 4.006 Å; angles 60.00, 60.00, 60.00 degrees
Element x y z (fractional)
Mg (0.000, 0.000, 0.000)
Be (0.250, 0.250, 0.250)
Co (0.500, 0.500, 0.500)
Co (0.750, 0.750, 0.750)

Properties
- Theoretical density: 5.522 g/cm3
- SG: F-43m
- Calculated total energy: -4.77 eV per atom

=====

[10]
DyTmFe2Ge2B after structural relaxation, computed with PBE.

Cell lengths 5.720, 5.720, 6.835 Å; angles 126.45, 126.45, 41.64 degrees
Element x y z (fractional)
Dy (0.000, 0.000, 0.000)
Tm (0.884, 0.884, 0.356)
Fe (0.235, 0.235, 0.863)
Fe (0.646, 0.646, 0.491)
Ge (0.276, 0.276, 0.562)
Ge (0.607, 0.607, 0.793)
B (0.440, 0.440, 0.178)

Properties
- Theoretical density: 8.674 g/cm3
- SG: Cm
- Calculated total energy: -6.53 eV per atom

=====

[11]
ThBiH after structural relaxation, computed with PBE.

Cell lengths 4.210, 4.210, 4.403 Å; angles 90.00, 90.00, 120.00 degrees
Element x y z (fractional)
Th (0.000, 0.000, 0.000)
Bi (0.667, 0.333, 0.500)
H (0.333, 0.667, 0.000)

Properties
- Theoretical density: 10.858 g/cm3
- SG: P-6m2
- Calculated total energy: -5.61 eV per atom

=====

[12]
SrGaAg2Sn after structural relaxation, computed with PBE.

Cell lengths 6.431, 6.431, 6.431 Å; angles 137.03, 137.03, 62.39 degrees
Element x y z (fractional)
Sr (0.000, 0.000, 0.000)
Ga (0.373, 0.373, 0.000)
Ag (0.259, 0.759, 0.500)
Ag (0.759, 0.259, 0.500)
Sn (0.619, 0.619, 0.000)

Properties
- Theoretical density: 6.690 g/cm3
- SG: I4mm
- Calculated total energy: -3.22 eV per atom

=====

Question: The highest theoretical density belongs to which entry?
Answer: AlCdIr2

=====

Question: Which value of theoretical density does entry 12 give?
Answer: 6.690 g/cm3